No. 1
# PrYTe2O

A relaxed structure of PrYTe2O (PBE-GGA, the Alexandria database).

Space group: P4/nmm (129)
Formation energy without anion corrections: -2062 meV per atom
Raw total energy: -65.59 eV/cell
Total magnetization: 0.00 μB per formula unit
DOS(E_F): 3.1 states/eV/cell

a b c (Å): 4.243 4.243 15.785
angles (deg): 90.00 90.00 90.00
Fractional coordinates of all 10 atoms:
1 Pr 0.250 0.250 0.072
2 Pr 0.750 0.750 0.928
3 Y 0.250 0.250 0.628
4 Y 0.750 0.750 0.372
5 Te 0.250 0.250 0.415
6 Te 0.250 0.250 0.809
7 Te 0.750 0.750 0.191
8 Te 0.750 0.750 0.585
9 O 0.250 0.750 0.000
10 O 0.750 0.250 0.000

No. 2
# Sr3GaSi4

A relaxed structure of Sr3GaSi4 (PBE-GGA, the Alexandria database).

Space group: Immm (71)
Formation energy without anion corrections: -222 meV per atom
Raw total energy: -31.54 eV/cell
Total magnetization: 0.00 μB per formula unit
DOS(E_F): 3.3 states/eV/cell

a b c (Å): 8.905 8.905 8.905
angles (deg): 148.57 142.05 50.07
Fractional coordinates of all 8 atoms:
1 Sr 0.000 0.000 0.000
2 Sr 0.308 0.808 0.500
3 Sr 0.692 0.192 0.500
4 Ga 0.500 0.500 0.000
5 Si 0.082 0.384 0.698
6 Si 0.314 0.616 0.698
7 Si 0.686 0.384 0.302
8 Si 0.918 0.616 0.302

No. 3
# HfTe

A relaxed structure of HfTe (PBE-GGA, the Alexandria database).

Space group: P4/nmm (129)
Formation energy without anion corrections: -684 meV per atom
Raw total energy: -28.93 eV/cell
Total magnetization: 0.00 μB per formula unit
DOS(E_F): 2.0 states/eV/cell

a b c (Å): 3.721 3.721 7.279
angles (deg): 90.00 90.00 90.00
Fractional coordinates of all 4 atoms:
1 Hf 0.250 0.250 0.118
2 Hf 0.750 0.750 0.882
3 Te 0.250 0.250 0.698
4 Te 0.750 0.750 0.302

No. 4
# NaRhF2

A relaxed structure of NaRhF2 (PBE-GGA, the Alexandria database).

Space group: Fm-3m (225)
Energy above the lowest structure with this stoichiometry: 552.3 meV/atom
Formation energy without anion corrections: -1077 meV per atom
Raw total energy: -16.72 eV/cell
Total magnetization: 2.03 μB per formula unit
DOS(E_F): 2.7 states/eV/cell

a b c (Å): 4.171 4.171 4.171
angles (deg): 60.00 60.00 60.00
Fractional coordinates of all 4 atoms:
1 Na 0.000 0.000 0.000
2 Rh 0.500 0.500 0.500
3 F 0.250 0.250 0.250
4 F 0.750 0.750 0.750